[1]
This record from Alexandria via LeMat-Bulk describes a relaxed structure of Ta2InCl. The functional is GGA-PBE.

* calculated volume: 18.5 Å³/atom
* uncorrected formation energy: 2.62 eV per formula unit
* energy relative to the lowest polymorph listed for this composition: 0.784 eV/atom

```
data_Ta2InCl
_chemical_formula_sum 'Ta2 In1 Cl1'
_symmetry_space_group_name_H-M 'P 4/m m m'
_symmetry_Int_Tables_number 123
_symmetry_space_group_name_Hall '-P 4 2'
_cell_length_a 4.941
_cell_length_b 4.941
_cell_length_c 3.035
_cell_angle_alpha 90.00
_cell_angle_beta 90.00
_cell_angle_gamma 90.00
loop_
_atom_site_label
_atom_site_type_symbol
_atom_site_fract_x
_atom_site_fract_y
_atom_site_fract_z
Ta1 Ta 0.000 0.500 0.000
In1 In 0.000 0.000 0.500
Cl1 Cl 0.500 0.500 0.500
```



[2]
This record from Alexandria via LeMat-Bulk describes a relaxed structure of Rb2LiPtCl6. The functional is GGA-PBE.

* calculated volume: 26.7 Å³/atom
* uncorrected formation energy: -12.93 eV per formula unit
* energy relative to the lowest polymorph listed for this composition: 0.000 eV/atom

```
data_Rb2LiPtCl6
_chemical_formula_sum 'Rb12 Li6 Pt6 Cl36'
_symmetry_space_group_name_H-M 'R -3 m'
_symmetry_Int_Tables_number 166
_symmetry_space_group_name_Hall '-R 3 2"'
_cell_length_a 7.1443
_cell_length_b 7.1443
_cell_length_c 36.2241
_cell_angle_alpha 90.00
_cell_angle_beta 90.00
_cell_angle_gamma 120.00
loop_
_atom_site_label
_atom_site_type_symbol
_atom_site_fract_x
_atom_site_fract_y
_atom_site_fract_z
Rb1 Rb 0.0000 0.0000 0.1229
Rb2 Rb 0.0000 0.0000 0.2970
Li1 Li 0.0000 0.0000 0.4160
Pt1 Pt 0.0000 0.0000 0.0000
Pt2 Pt 0.0000 0.0000 0.5000
Cl1 Cl 0.0105 0.5053 0.7062
Cl2 Cl 0.0164 0.5082 0.1271
```



[3]
This record from Alexandria via LeMat-Bulk describes a relaxed structure of CaReI2O. The functional is GGA-PBE.

* calculated volume: 25.0 Å³/atom
* uncorrected formation energy: -2.53 eV per formula unit
* energy relative to the lowest polymorph listed for this composition: 0.000 eV/atom

```
data_CaReI2O
_chemical_formula_sum 'Ca1 Re1 I2 O1'
_symmetry_space_group_name_H-M 'P 4/m m m'
_symmetry_Int_Tables_number 123
_symmetry_space_group_name_Hall '-P 4 2'
_cell_length_a 5.727
_cell_length_b 5.727
_cell_length_c 3.818
_cell_angle_alpha 90.00
_cell_angle_beta 90.00
_cell_angle_gamma 90.00
loop_
_atom_site_label
_atom_site_type_symbol
_atom_site_fract_x
_atom_site_fract_y
_atom_site_fract_z
Ca1 Ca 0.000 0.000 0.000
Re1 Re 0.500 0.500 0.500
I1 I 0.000 0.500 0.500
O1 O 0.500 0.500 0.000
```



[4]
This record from Alexandria via LeMat-Bulk describes a relaxed structure of ScCo2Ir. The functional is GGA-PBE.

* calculated volume: 13.8 Å³/atom
* formation energy from the elements: -193 meV/atom

```
data_ScCo2Ir
_chemical_formula_sum 'Sc2 Co4 Ir2'
_symmetry_space_group_name_H-M 'C 1 m 1'
_symmetry_Int_Tables_number 8
_cell_length_a 9.567
_cell_length_b 2.918
_cell_length_c 4.402
_cell_angle_alpha 90.00
_cell_angle_beta 115.76
_cell_angle_gamma 90.00
loop_
_symmetry_equiv_pos_as_xyz
'x,y,z'
'x,-y,z'
'x+1/2,y+1/2,z'
'x+1/2,-y+1/2,z'
loop_
_atom_site_label
_atom_site_type_symbol
_atom_site_fract_x
_atom_site_fract_y
_atom_site_fract_z
Sc1 Sc 0.000 0.000 0.000
Co1 Co 0.016 0.500 0.488
Co2 Co 0.239 0.000 0.830
Ir1 Ir 0.271 0.500 0.361
```



[5]
This record from Alexandria via LeMat-Bulk describes a relaxed structure of CaLu2Pd. The functional is GGA-PBE.

* calculated volume: 31.4 Å³/atom
* energy relative to the lowest polymorph listed for this composition: 0.075 eV/atom
* formation energy from the elements: -322 meV/atom

```
data_CaLu2Pd
_chemical_formula_sum 'Ca3 Lu6 Pd3'
_symmetry_space_group_name_H-M 'R -3 m'
_symmetry_Int_Tables_number 166
_symmetry_space_group_name_Hall '-R 3 2"'
_cell_length_a 3.9431
_cell_length_b 3.9431
_cell_length_c 28.0248
_cell_angle_alpha 90.00
_cell_angle_beta 90.00
_cell_angle_gamma 120.00
loop_
_atom_site_label
_atom_site_type_symbol
_atom_site_fract_x
_atom_site_fract_y
_atom_site_fract_z
Ca1 Ca 0.0000 0.0000 0.0000
Lu1 Lu 0.0000 0.0000 0.2218
Pd1 Pd 0.0000 0.0000 0.5000
```



[6]
This record from Alexandria via LeMat-Bulk describes a relaxed structure of Pm6Sb3AsS2. The functional is GGA-PBE.

* calculated volume: 28.2 Å³/atom
* uncorrected formation energy: -18.01 eV per formula unit

```
data_Pm6Sb3AsS2
_chemical_formula_sum 'Pm12 Sb6 As2 S4'
_symmetry_space_group_name_H-M 'C 1 2/m 1'
_symmetry_Int_Tables_number 12
_cell_length_a 18.785
_cell_length_b 4.304
_cell_length_c 8.617
_cell_angle_alpha 90.00
_cell_angle_beta 103.58
_cell_angle_gamma 90.00
loop_
_symmetry_equiv_pos_as_xyz
'x,y,z'
'-x,-y,-z'
'-x,y,-z'
'x,-y,z'
'x+1/2,y+1/2,z'
'-x+1/2,-y+1/2,-z'
'-x+1/2,y+1/2,-z'
'x+1/2,-y+1/2,z'
loop_
_atom_site_label
_atom_site_type_symbol
_atom_site_fract_x
_atom_site_fract_y
_atom_site_fract_z
Pm1 Pm 0.005 0.000 0.241
Pm2 Pm 0.163 0.500 0.093
Pm3 Pm 0.171 0.500 0.572
Sb1 Sb 0.000 0.500 0.500
Sb2 Sb 0.167 0.000 0.832
As1 As 0.000 0.500 0.000
S1 S 0.168 0.000 0.335
```



[7]
This record from Alexandria via LeMat-Bulk describes a relaxed structure of YEr3Sn3. The functional is GGA-PBE.

* calculated volume: 27.3 Å³/atom
* formation energy from the elements: -520 meV/atom

```
data_YEr3Sn3
_chemical_formula_sum 'Y2 Er6 Sn6'
_symmetry_space_group_name_H-M 'P 63/m'
_symmetry_Int_Tables_number 176
_symmetry_space_group_name_Hall '-P 6c'
_cell_length_a 9.0398
_cell_length_b 9.0398
_cell_length_c 5.4081
_cell_angle_alpha 90.00
_cell_angle_beta 90.00
_cell_angle_gamma 120.00
loop_
_atom_site_label
_atom_site_type_symbol
_atom_site_fract_x
_atom_site_fract_y
_atom_site_fract_z
Y1 Y 0.3333 0.6667 0.2500
Er1 Er 0.0060 0.7680 0.2500
Sn1 Sn 0.0757 0.6229 0.7500
```



[8]
This record from Alexandria via LeMat-Bulk describes a relaxed structure of CaCdCo2. The functional is GGA-PBE.

* calculated volume: 17.6 Å³/atom
* formation energy from the elements: 418 meV/atom

```
data_CaCdCo2
_chemical_formula_sum 'Ca2 Cd2 Co4'
_symmetry_space_group_name_H-M 'I -4 m 2'
_symmetry_Int_Tables_number 119
_symmetry_space_group_name_Hall 'I -4 -2'
_cell_length_a 4.260
_cell_length_b 4.260
_cell_length_c 7.747
_cell_angle_alpha 90.00
_cell_angle_beta 90.00
_cell_angle_gamma 90.00
loop_
_atom_site_label
_atom_site_type_symbol
_atom_site_fract_x
_atom_site_fract_y
_atom_site_fract_z
Ca1 Ca 0.000 0.000 0.000
Cd1 Cd 0.000 0.500 0.750
Co1 Co 0.000 0.000 0.500
Co2 Co 0.000 0.500 0.250
```



Copy entry 8 word for word.
This record from Alexandria via LeMat-Bulk describes a relaxed structure of CaCdCo2. The functional is GGA-PBE.

* calculated volume: 17.6 Å³/atom
* formation energy from the elements: 418 meV/atom

```
data_CaCdCo2
_chemical_formula_sum 'Ca2 Cd2 Co4'
_symmetry_space_group_name_H-M 'I -4 m 2'
_symmetry_Int_Tables_number 119
_symmetry_space_group_name_Hall 'I -4 -2'
_cell_length_a 4.260
_cell_length_b 4.260
_cell_length_c 7.747
_cell_angle_alpha 90.00
_cell_angle_beta 90.00
_cell_angle_gamma 90.00
loop_
_atom_site_label
_atom_site_type_symbol
_atom_site_fract_x
_atom_site_fract_y
_atom_site_fract_z
Ca1 Ca 0.000 0.000 0.000
Cd1 Cd 0.000 0.500 0.750
Co1 Co 0.000 0.000 0.500
Co2 Co 0.000 0.500 0.250
```